one) A relaxed Co5Os crystal, computed with PBE-GGA.

Cell and atoms, written as CIF:
```
data_Co5Os
_cell_length_a 4.795
_cell_length_b 4.795
_cell_length_c 9.661
_cell_angle_alpha 140.42
_cell_angle_beta 140.42
_cell_angle_gamma 31.12
_symmetry_space_group_name_H-M 'P 1'
_symmetry_Int_Tables_number 1
loop_
_symmetry_equiv_pos_as_xyz
'x,y,z'
loop_
_atom_site_label
_atom_site_fract_x
_atom_site_fract_y
_atom_site_fract_z
_atom_site_occupancy
Co1 0.996 0.996 0.997 1
Co2 0.109 0.109 0.718 1
Co3 0.330 0.330 0.662 1
Co4 0.449 0.449 0.396 1
Co5 0.673 0.673 0.338 1
Os1 0.777 0.777 0.056 1
```

Calculated values
SG = Cm (8)
Calculated volume = 68.9 Å³ per cell

two) A relaxed Co5Os crystal, computed with PBE-GGA.

Cell and atoms, written as CIF:
```
data_Co5Os
_cell_length_a 2.562
_cell_length_b 6.710
_cell_length_c 4.069
_cell_angle_alpha 90.00
_cell_angle_beta 90.00
_cell_angle_gamma 78.99
_symmetry_space_group_name_H-M 'P 1'
_symmetry_Int_Tables_number 1
loop_
_symmetry_equiv_pos_as_xyz
'x,y,z'
loop_
_atom_site_label
_atom_site_fract_x
_atom_site_fract_y
_atom_site_fract_z
_atom_site_occupancy
Co1 0.004 0.993 0.000 1
Co2 0.667 0.667 0.000 1
Co3 0.331 0.338 0.000 1
Co4 0.558 0.883 0.500 1
Co5 0.218 0.564 0.500 1
Os1 0.889 0.222 0.500 1
```

Calculated values
SG = Amm2 (38)
Calculated volume = 68.7 Å³ per cell

three) A relaxed Co5Os crystal, computed with PBE-GGA.

Cell and atoms, written as CIF:
```
data_Co5Os
_cell_length_a 4.653
_cell_length_b 4.653
_cell_length_c 4.653
_cell_angle_alpha 60.00
_cell_angle_beta 60.00
_cell_angle_gamma 60.00
_symmetry_space_group_name_H-M 'P 1'
_symmetry_Int_Tables_number 1
loop_
_symmetry_equiv_pos_as_xyz
'x,y,z'
loop_
_atom_site_label
_atom_site_fract_x
_atom_site_fract_y
_atom_site_fract_z
_atom_site_occupancy
Co1 0.874 0.375 0.375 1
Co2 0.750 0.750 0.750 1
Co3 0.375 0.874 0.375 1
Co4 0.375 0.375 0.375 1
Co5 0.375 0.375 0.874 1
Os1 0.000 0.000 0.000 1
```

Calculated values
SG = F-43m (216)
Calculated volume = 71.3 Å³ per cell

Relative energy of each structure, in meV/atom: one) 10; two) 0; three) 171.

one) A relaxed Co5Os crystal, computed with PBE-GGA.

Cell and atoms, written as CIF:
```
data_Co5Os
_cell_length_a 3.564
_cell_length_b 3.566
_cell_length_c 5.612
_cell_angle_alpha 108.53
_cell_angle_beta 90.00
_cell_angle_gamma 90.00
_symmetry_space_group_name_H-M 'P 1'
_symmetry_Int_Tables_number 1
loop_
_symmetry_equiv_pos_as_xyz
'x,y,z'
loop_
_atom_site_label
_atom_site_fract_x
_atom_site_fract_y
_atom_site_fract_z
_atom_site_occupancy
Co1 0.500 0.831 0.662 1
Co2 0.000 0.668 0.335 1
Co3 0.500 0.500 0.000 1
Co4 0.000 0.332 0.665 1
Co5 0.500 0.169 0.338 1
Os1 0.000 0.000 0.000 1
```

Calculated values
SG = Cmmm (65)
Calculated volume = 67.6 Å³ per cell

two) A relaxed Co5Os crystal, computed with PBE-GGA.

Cell and atoms, written as CIF:
```
data_Co5Os
_cell_length_a 4.575
_cell_length_b 4.575
_cell_length_c 4.038
_cell_angle_alpha 90.00
_cell_angle_beta 90.00
_cell_angle_gamma 120.00
_symmetry_space_group_name_H-M 'P 1'
_symmetry_Int_Tables_number 1
loop_
_symmetry_equiv_pos_as_xyz
'x,y,z'
loop_
_atom_site_label
_atom_site_fract_x
_atom_site_fract_y
_atom_site_fract_z
_atom_site_occupancy
Co1 0.000 0.500 0.500 1
Co2 0.333 0.667 0.000 1
Co3 0.500 0.000 0.500 1
Co4 0.500 0.500 0.500 1
Co5 0.667 0.333 0.000 1
Os1 0.000 0.000 0.000 1
```

Calculated values
SG = P6/mmm (191)
Calculated volume = 73.2 Å³ per cell

Relative energy of each structure, in meV/atom: one) 0; two) 306.

one) A relaxed CoP2Os crystal, computed with PBE-GGA.

Cell and atoms, written as CIF:
```
data_CoP2Os
_cell_length_a 7.217
_cell_length_b 7.217
_cell_length_c 7.217
_cell_angle_alpha 22.90
_cell_angle_beta 22.90
_cell_angle_gamma 22.90
_symmetry_space_group_name_H-M 'P 1'
_symmetry_Int_Tables_number 1
loop_
_symmetry_equiv_pos_as_xyz
'x,y,z'
loop_
_atom_site_label
_atom_site_fract_x
_atom_site_fract_y
_atom_site_fract_z
_atom_site_occupancy
Co1 0.250 0.250 0.250 1
Os1 0.750 0.750 0.750 1
P1 0.996 0.996 0.996 1
P2 0.504 0.504 0.504 1
```

Calculated values
SG = R-3m (166)
Calculated volume = 49.9 Å³ per cell

two) A relaxed CoP2Os crystal, computed with PBE-GGA.

Cell and atoms, written as CIF:
```
data_CoP2Os
_cell_length_a 2.888
_cell_length_b 2.888
_cell_length_c 7.454
_cell_angle_alpha 90.00
_cell_angle_beta 90.00
_cell_angle_gamma 121.89
_symmetry_space_group_name_H-M 'P 1'
_symmetry_Int_Tables_number 1
loop_
_symmetry_equiv_pos_as_xyz
'x,y,z'
loop_
_atom_site_label
_atom_site_fract_x
_atom_site_fract_y
_atom_site_fract_z
_atom_site_occupancy
Co1 0.500 0.500 0.250 1
Os1 0.500 0.500 0.750 1
P1 0.000 0.000 0.013 1
P2 0.000 0.000 0.487 1
```

Calculated values
SG = Cmmm (65)
Calculated volume = 52.8 Å³ per cell

three) A relaxed CoP2Os crystal, computed with PBE-GGA.

Cell and atoms, written as CIF:
```
data_CoP2Os
_cell_length_a 3.940
_cell_length_b 3.940
_cell_length_c 4.771
_cell_angle_alpha 79.32
_cell_angle_beta 79.32
_cell_angle_gamma 43.14
_symmetry_space_group_name_H-M 'P 1'
_symmetry_Int_Tables_number 1
loop_
_symmetry_equiv_pos_as_xyz
'x,y,z'
loop_
_atom_site_label
_atom_site_fract_x
_atom_site_fract_y
_atom_site_fract_z
_atom_site_occupancy
Co1 0.750 0.750 0.750 1
Os1 0.250 0.250 0.250 1
P1 0.996 0.996 0.991 1
P2 0.504 0.504 0.509 1
```

Calculated values
SG = C2/m (12)
Calculated volume = 49.6 Å³ per cell

Relative energy of each structure, in meV/atom: one) 0; two) 412; three) 9.

one) A relaxed CoP2Os crystal, computed with PBE-GGA.

Cell and atoms, written as CIF:
```
data_CoP2Os
_cell_length_a 2.815
_cell_length_b 2.815
_cell_length_c 7.349
_cell_angle_alpha 90.00
_cell_angle_beta 90.00
_cell_angle_gamma 90.00
_symmetry_space_group_name_H-M 'P 1'
_symmetry_Int_Tables_number 1
loop_
_symmetry_equiv_pos_as_xyz
'x,y,z'
loop_
_atom_site_label
_atom_site_fract_x
_atom_site_fract_y
_atom_site_fract_z
_atom_site_occupancy
Co1 0.000 0.000 0.491 1
Os1 0.500 0.500 0.746 1
P1 0.000 0.000 0.933 1
P2 0.500 0.500 0.330 1
```

Calculated values
SG = P4mm (99)
Calculated volume = 58.2 Å³ per cell

two) A relaxed CoP2Os crystal, computed with PBE-GGA.

Cell and atoms, written as CIF:
```
data_CoP2Os
_cell_length_a 2.901
_cell_length_b 4.791
_cell_length_c 3.744
_cell_angle_alpha 90.00
_cell_angle_beta 90.00
_cell_angle_gamma 90.00
_symmetry_space_group_name_H-M 'P 1'
_symmetry_Int_Tables_number 1
loop_
_symmetry_equiv_pos_as_xyz
'x,y,z'
loop_
_atom_site_label
_atom_site_fract_x
_atom_site_fract_y
_atom_site_fract_z
_atom_site_occupancy
Co1 0.500 0.000 0.500 1
Os1 0.000 0.500 0.500 1
P1 0.000 0.000 0.000 1
P2 0.500 0.500 0.000 1
```

Calculated values
SG = Pmmm (47)
Calculated volume = 52.0 Å³ per cell

three) A relaxed CoP2Os crystal, computed with PBE-GGA.

Cell and atoms, written as CIF:
```
data_CoP2Os
_cell_length_a 4.174
_cell_length_b 4.174
_cell_length_c 4.174
_cell_angle_alpha 60.00
_cell_angle_beta 60.00
_cell_angle_gamma 60.00
_symmetry_space_group_name_H-M 'P 1'
_symmetry_Int_Tables_number 1
loop_
_symmetry_equiv_pos_as_xyz
'x,y,z'
loop_
_atom_site_label
_atom_site_fract_x
_atom_site_fract_y
_atom_site_fract_z
_atom_site_occupancy
Co1 0.500 0.500 0.500 1
Os1 0.250 0.250 0.250 1
P1 0.000 0.000 0.000 1
P2 0.750 0.750 0.750 1
```

Calculated values
SG = F-43m (216)
Calculated volume = 51.4 Å³ per cell

Relative energy of each structure, in meV/atom: one) 0; two) 335; three) 560.

one) A relaxed CoPOsS crystal, computed with PBE-GGA.

Cell and atoms, written as CIF:
```
data_CoPOsS
_cell_length_a 3.554
_cell_length_b 3.554
_cell_length_c 16.173
_cell_angle_alpha 90.00
_cell_angle_beta 90.00
_cell_angle_gamma 120.00
_symmetry_space_group_name_H-M 'P 1'
_symmetry_Int_Tables_number 1
loop_
_symmetry_equiv_pos_as_xyz
'x,y,z'
loop_
_atom_site_label
_atom_site_fract_x
_atom_site_fract_y
_atom_site_fract_z
_atom_site_occupancy
Co1 0.000 0.000 0.274 1
Co2 0.333 0.667 0.940 1
Co3 0.667 0.333 0.607 1
P1 0.000 0.000 0.573 1
P2 0.333 0.667 0.240 1
P3 0.667 0.333 0.906 1
Os1 0.000 0.000 0.824 1
Os2 0.333 0.667 0.490 1
Os3 0.667 0.333 0.157 1
S1 0.000 0.000 0.408 1
S2 0.333 0.667 0.075 1
S3 0.667 0.333 0.741 1
```

Calculated values
SG = R3m (160)
Calculated volume = 176.9 Å³ per cell

two) A relaxed CoPOsS crystal, computed with PBE-GGA.

Cell and atoms, written as CIF:
```
data_CoPOsS
_cell_length_a 5.179
_cell_length_b 2.990
_cell_length_c 7.184
_cell_angle_alpha 90.00
_cell_angle_beta 90.20
_cell_angle_gamma 90.00
_symmetry_space_group_name_H-M 'P 1'
_symmetry_Int_Tables_number 1
loop_
_symmetry_equiv_pos_as_xyz
'x,y,z'
loop_
_atom_site_label
_atom_site_fract_x
_atom_site_fract_y
_atom_site_fract_z
_atom_site_occupancy
Co1 0.189 0.000 0.877 1
Co2 0.189 0.500 0.377 1
P1 0.905 0.000 0.287 1
P2 0.905 0.500 0.787 1
Os1 0.696 0.000 0.007 1
Os2 0.696 0.500 0.507 1
S1 0.368 0.000 0.598 1
S2 0.368 0.500 0.098 1
```

Calculated values
SG = Cm (8)
Calculated volume = 111.2 Å³ per cell

Relative energy of each structure, in meV/atom: one) 55; two) 0.

one) A relaxed CoPOsS crystal, computed with PBE-GGA.

Cell and atoms, written as CIF:
```
data_CoPOsS
_cell_length_a 3.704
_cell_length_b 3.893
_cell_length_c 4.544
_cell_angle_alpha 89.68
_cell_angle_beta 79.53
_cell_angle_gamma 67.47
_symmetry_space_group_name_H-M 'P 1'
_symmetry_Int_Tables_number 1
loop_
_symmetry_equiv_pos_as_xyz
'x,y,z'
loop_
_atom_site_label
_atom_site_fract_x
_atom_site_fract_y
_atom_site_fract_z
_atom_site_occupancy
Co1 0.815 0.521 0.926 1
P1 0.822 0.713 0.402 1
Os1 0.454 0.364 0.473 1
S1 0.458 0.169 0.963 1
```

Calculated values
SG = P1 (1)
Calculated volume = 59.4 Å³ per cell

two) A relaxed CoPOsS crystal, computed with PBE-GGA.

Cell and atoms, written as CIF:
```
data_CoPOsS
_cell_length_a 6.066
_cell_length_b 3.056
_cell_length_c 7.081
_cell_angle_alpha 90.00
_cell_angle_beta 117.91
_cell_angle_gamma 90.00
_symmetry_space_group_name_H-M 'P 1'
_symmetry_Int_Tables_number 1
loop_
_symmetry_equiv_pos_as_xyz
'x,y,z'
loop_
_atom_site_label
_atom_site_fract_x
_atom_site_fract_y
_atom_site_fract_z
_atom_site_occupancy
Co1 0.680 0.000 0.801 1
Co2 0.680 0.500 0.301 1
P1 0.636 0.000 0.080 1
P2 0.636 0.500 0.580 1
Os1 0.322 0.000 0.364 1
Os2 0.322 0.500 0.864 1
S1 0.094 0.000 0.969 1
S2 0.094 0.500 0.469 1
```

Calculated values
SG = Cm (8)
Calculated volume = 116.0 Å³ per cell

Relative energy of each structure, in meV/atom: one) 51; two) 0.

one) A relaxed PaCoOs crystal, computed with PBE-GGA.

Cell and atoms, written as CIF:
```
data_PaCoOs
_cell_length_a 5.029
_cell_length_b 5.202
_cell_length_c 5.202
_cell_angle_alpha 60.92
_cell_angle_beta 61.09
_cell_angle_gamma 61.09
_symmetry_space_group_name_H-M 'P 1'
_symmetry_Int_Tables_number 1
loop_
_symmetry_equiv_pos_as_xyz
'x,y,z'
loop_
_atom_site_label
_atom_site_fract_x
_atom_site_fract_y
_atom_site_fract_z
_atom_site_occupancy
Pa1 0.874 0.376 0.376 1
Pa2 0.126 0.624 0.624 1
Co1 0.000 0.000 0.000 1
Co2 0.500 0.000 0.000 1
Os1 0.500 0.500 0.000 1
Os2 0.500 0.000 0.500 1
```

Calculated values
SG = Imma (74)
Calculated volume = 98.5 Å³ per cell

two) A relaxed PaCoOs crystal, computed with PBE-GGA.

Cell and atoms, written as CIF:
```
data_PaCoOs
_cell_length_a 2.954
_cell_length_b 5.133
_cell_length_c 6.601
_cell_angle_alpha 90.00
_cell_angle_beta 90.00
_cell_angle_gamma 90.00
_symmetry_space_group_name_H-M 'P 1'
_symmetry_Int_Tables_number 1
loop_
_symmetry_equiv_pos_as_xyz
'x,y,z'
loop_
_atom_site_label
_atom_site_fract_x
_atom_site_fract_y
_atom_site_fract_z
_atom_site_occupancy
Os1 0.500 0.750 0.747 1
Os2 0.500 0.250 0.253 1
Pa1 0.000 0.250 0.646 1
Pa2 0.000 0.750 0.354 1
Co1 0.000 0.000 0.000 1
Co2 0.000 0.500 0.000 1
```

Calculated values
SG = Pmma (51)
Calculated volume = 100.1 Å³ per cell

Relative energy of each structure, in meV/atom: one) 0; two) 332.

one) A relaxed PaCoOs2 crystal, computed with PBE-GGA.

Cell and atoms, written as CIF:
```
data_PaCoOs2
_cell_length_a 4.441
_cell_length_b 4.441
_cell_length_c 5.154
_cell_angle_alpha 64.48
_cell_angle_beta 64.48
_cell_angle_gamma 60.00
_symmetry_space_group_name_H-M 'P 1'
_symmetry_Int_Tables_number 1
loop_
_symmetry_equiv_pos_as_xyz
'x,y,z'
loop_
_atom_site_label
_atom_site_fract_x
_atom_site_fract_y
_atom_site_fract_z
_atom_site_occupancy
Co1 0.500 0.500 0.500 1
Pa1 0.000 0.000 0.000 1
Os1 0.812 0.812 0.564 1
Os2 0.188 0.188 0.436 1
```

Calculated values
SG = R-3m (166)
Calculated volume = 76.4 Å³ per cell

two) A relaxed PaCoOs2 crystal, computed with PBE-GGA.

Cell and atoms, written as CIF:
```
data_PaCoOs2
_cell_length_a 4.048
_cell_length_b 3.982
_cell_length_c 3.982
_cell_angle_alpha 90.00
_cell_angle_beta 90.00
_cell_angle_gamma 90.00
_symmetry_space_group_name_H-M 'P 1'
_symmetry_Int_Tables_number 1
loop_
_symmetry_equiv_pos_as_xyz
'x,y,z'
loop_
_atom_site_label
_atom_site_fract_x
_atom_site_fract_y
_atom_site_fract_z
_atom_site_occupancy
Co1 0.500 0.000 0.000 1
Pa1 0.500 0.500 0.500 1
Os1 0.000 0.000 0.500 1
Os2 0.000 0.500 0.000 1
```

Calculated values
SG = P4/mmm (123)
Calculated volume = 64.2 Å³ per cell

Relative energy of each structure, in meV/atom: one) 225; two) 0.